15
Lattice="-1.3949 -4.7156 -2.0498 3.6872 -1.9111 -5.0365 3.0251 -5.0951 2.7390" Properties=species:S:1:pos:R:3 comment="Np4MoO10 PBE+U relaxed" energy_ry_per_atom=-0.7363 pbc="T T T"
Np 3.6041 -5.4465 -3.7702
Np 3.5338 -9.0004 -2.4702
Np 1.7836 -2.7213 -1.8770
Np 1.7133 -6.2752 -0.5770
Mo 0.0000 0.0000 0.0000
O 3.0074 -4.6820 -1.6612
O 2.8937 -8.2818 -0.3409
O 1.1629 -1.8956 0.2226
O 4.8751 -7.3901 -3.5109
O 1.7031 -5.8760 -5.0653
O 2.4237 -3.4399 -4.0063
O 2.3100 -7.0398 -2.6861
O 3.6143 -5.8457 0.7180
O 0.4422 -4.3317 -0.8363
O 4.1545 -9.8262 -4.5698